Entry 1:
A plane-wave DFT calculation with PBE was carried out for crystalline K2ZnCdH6 at its relaxed geometry.

Values from the calculation:
M_tot ... 0.000 μB per atom
Uncorrected energy ... -2.562 eV/atom

```
K2ZnCdH6
1.0
5.651 0.006 -0.014
0.002 5.058 -0.018
-2.828 -2.512 5.529
H Zn K Cd
6 1 2 1
Cartesian
4.907 1.501 0.533
3.143 2.072 4.608
3.707 4.180 0.531
-0.336 -0.438 4.417
2.498 2.082 2.183
0.335 -0.472 1.986
5.288 -0.189 0.538
-0.029 2.136 3.244
2.793 -0.391 3.356
3.122 2.301 0.534
```


Entry 2:
A plane-wave DFT calculation with PBE was carried out for crystalline La2CdH at its relaxed geometry.

Values from the calculation:
M_tot ... 0.000 μB per atom
Uncorrected energy ... -3.809 eV/atom

```
La2CdH
1.0
-1.973 -3.035 -6.412
6.347 -3.727 -0.189
0.538 -6.285 -1.419
La H Cd
4 2 2
Cartesian
-0.119 -3.648 -3.782
3.634 -10.279 -6.822
2.642 -7.600 -3.557
3.669 -4.566 -1.878
2.187 -3.381 -3.300
4.536 -6.696 -2.454
0.376 -6.350 -5.566
0.000 0.000 0.000
```


Entry 3:
A plane-wave DFT calculation with PBE was carried out for crystalline LaCdH at its relaxed geometry.

Values from the calculation:
M_tot ... 0.000 μB per atom
Uncorrected energy ... -3.392 eV/atom

```
LaCdH
1.0
-3.009 2.806 -0.302
1.146 -2.139 -3.112
-6.533 -6.521 4.493
H Cd La
2 2 2
Cartesian
-2.333 0.302 -2.116
-6.062 -6.156 3.195
-4.154 -4.411 0.404
-4.242 -1.443 0.675
-7.246 -4.536 1.873
-1.149 -1.318 -0.794
```


Entry 4:
A plane-wave DFT calculation with PBE was carried out for crystalline La2CdH at its relaxed geometry.

Values from the calculation:
M_tot ... 0.000 μB per atom
Uncorrected energy ... -3.781 eV/atom

```
La2CdH
1.0
-2.688 -1.961 -1.781
0.795 -3.382 -1.474
-2.717 -5.361 6.003
La H Cd
2 1 1
Cartesian
-1.002 -2.418 0.176
-2.338 -4.710 4.714
-1.269 -3.575 -2.145
-2.306 -5.354 1.377
```


Entry 5:
A plane-wave DFT calculation with PBE was carried out for crystalline La3CdH at its relaxed geometry.

Values from the calculation:
M_tot ... 0.000 μB per atom
Uncorrected energy ... -4.053 eV/atom

```
La3CdH
1.0
5.115 0.000 0.000
0.000 5.115 0.000
0.000 0.000 5.115
H La Cd
1 3 1
Cartesian
0.000 0.000 0.000
0.000 0.000 2.558
2.558 0.000 0.000
0.000 2.558 0.000
2.558 2.558 2.558
```


Entry 6:
A plane-wave DFT calculation with PBE was carried out for crystalline La4Cd2H at its relaxed geometry.

Values from the calculation:
M_tot ... 0.001 μB per atom
Uncorrected energy ... -3.765 eV/atom

```
La4Cd2H
1.0
4.978 0.000 0.000
0.000 4.978 0.000
2.489 2.489 8.342
Cd La H
2 4 1
Cartesian
4.978 4.978 6.148
2.489 2.489 2.194
4.978 4.978 3.024
0.000 2.489 0.000
2.489 0.000 0.000
2.489 2.489 5.318
0.000 0.000 0.000
```


Entry 7:
A plane-wave DFT calculation with PBE was carried out for crystalline La2CdH at its relaxed geometry.

Values from the calculation:
M_tot ... 0.000 μB per atom
Uncorrected energy ... -3.641 eV/atom

```
La2CdH
1.0
3.420 0.000 0.000
0.000 3.420 0.000
0.000 0.000 7.947
La Cd H
2 1 1
Cartesian
0.000 0.000 6.328
0.000 0.000 1.618
1.710 1.710 3.973
1.710 1.710 0.000
```


Entry 8:
A plane-wave DFT calculation with PBE was carried out for crystalline La3Cd5H12 at its relaxed geometry.

Values from the calculation:
M_tot ... 0.000 μB per atom
Uncorrected energy ... -3.069 eV/atom

```
La3Cd5H12
1.0
11.510 0.000 0.000
-3.837 10.852 0.000
-3.837 -5.426 9.398
H La Cd
48 12 20
Cartesian
4.067 1.620 5.671
5.525 3.008 3.267
1.747 1.672 8.445
-0.230 3.806 3.727
-1.688 -4.038 8.938
2.090 7.087 0.972
-0.172 7.098 0.953
5.583 5.415 1.924
-0.172 3.765 0.972
0.592 6.496 6.624
-3.244 5.201 5.160
1.688 -1.620 5.671
-1.326 -0.225 4.238
2.913 4.917 3.746
1.747 -1.661 8.427
1.326 4.356 6.624
7.845 5.437 1.924
-4.831 2.990 7.084
-2.511 6.271 7.013
-0.924 3.499 7.966
7.081 0.225 4.238
-4.009 -0.011 7.474
2.090 3.754 0.953
0.924 0.509 5.652
-4.067 4.038 8.938
-3.607 7.844 3.267
7.904 1.388 0.461
4.009 1.661 8.427
-0.924 -2.990 7.084
-2.843 8.925 1.432
6.679 -3.499 7.966
2.148 7.046 3.727
-1.688 2.418 6.132
8.668 2.436 2.314
-0.994 5.935 3.746
4.761 1.927 1.432
4.761 8.416 2.314
6.348 -0.845 2.385
7.444 -2.418 6.132
5.163 5.651 5.160
5.525 9.464 0.461
4.009 -1.672 8.445
4.831 -0.509 5.652
4.429 4.581 7.013
-0.592 0.845 2.385
3.244 -1.070 2.775
-1.747 0.011 7.474
2.511 1.070 2.775
-4.796 5.426 7.049
6.714 3.391 1.175
8.633 0.000 2.350
-2.878 -2.035 8.223
-0.959 4.748 5.874
6.714 7.461 1.175
4.796 0.678 3.524
-2.878 2.035 8.223
0.959 5.426 2.350
0.959 -0.678 3.524
2.878 6.104 5.874
2.878 0.000 7.049
2.878 8.139 2.350
2.878 2.035 1.175
-3.837 2.713 4.699
-0.959 8.817 1.175
1.918 2.713 4.699
0.959 3.391 8.223
5.755 0.000 0.000
-1.918 -2.713 4.699
4.796 -3.391 8.223
-1.918 5.426 0.000
6.714 -0.678 5.874
4.796 2.713 7.049
0.000 0.000 0.000
3.837 5.426 0.000
-0.959 0.678 5.874
4.796 4.748 3.524
-2.878 6.104 3.524
3.837 -2.713 4.699
-0.959 2.713 2.350
0.959 -2.713 7.049
```